# RuAuBr (meta-GGA SCAN, PBEsol geometry)
data_RuAuBr
_symmetry_space_group_name_H-M 'P 3 m 1'
_symmetry_Int_Tables_number 156
_cell_length_a 3.5186
_cell_length_b 3.5186
_cell_length_c 5.7261
_cell_angle_alpha 90.00
_cell_angle_beta 90.00
_cell_angle_gamma 120.00
loop_
_symmetry_equiv_pos_as_xyz
'x,y,z'
'-y,x-y,z'
'-x+y,-x,z'
'-y,-x,z'
'-x+y,y,z'
'x,x-y,z'
loop_
_atom_site_label
_atom_site_type_symbol
_atom_site_fract_x
_atom_site_fract_y
_atom_site_fract_z
Ru1 Ru 0.0000 0.0000 0.0000
Au1 Au 0.3333 0.6667 0.7138
Br1 Br 0.6667 0.3333 0.2244
# **Formation energy without anion corrections**: 0.3582 eV/atom
# **Energy relative to the lowest polymorph listed for this composition**: 0.00 eV per formula unit

---

# FeNiS2N (meta-GGA SCAN, PBEsol geometry)
data_FeNiS2N
_symmetry_space_group_name_H-M 'P 4/m m m'
_symmetry_Int_Tables_number 123
_symmetry_space_group_name_Hall '-P 4 2'
_cell_length_a 4.485
_cell_length_b 4.485
_cell_length_c 3.282
_cell_angle_alpha 90.00
_cell_angle_beta 90.00
_cell_angle_gamma 90.00
loop_
_atom_site_label
_atom_site_type_symbol
_atom_site_fract_x
_atom_site_fract_y
_atom_site_fract_z
Fe1 Fe 0.000 0.000 0.000
Ni1 Ni 0.500 0.500 0.500
S1 S 0.000 0.500 0.000
N1 N 0.000 0.000 0.500
# **Formation energy without anion corrections**: 0.5937 eV/atom

---

- Which value of formation energy without anion corrections does entry 1 give?
  0.3582 eV/atom

---

- The lowest formation energy without anion corrections belongs to which entry?
  RuAuBr

---

- Number 1 is which compound?
  RuAuBr

---

- The lowest formation energy without anion corrections belongs to which entry?
  RuAuBr